## Rb2Zn3GeAs4 (PBEsol)

Data for an optimized crystal structure of Rb2Zn3GeAs4.

Geometry as POSCAR:
```
Rb2Zn3GeAs4
1.0
2.878 -7.267 0.000
2.878 7.267 0.000
0.000 0.000 5.746
Rb Zn Ge As
2 3 1 4
direct
0.000 0.500 0.249 Rb
0.500 0.000 0.751 Rb
0.000 0.000 0.000 Zn
0.500 0.500 0.000 Zn
0.500 0.500 0.500 Zn
0.000 0.000 0.500 Ge
0.138 0.349 0.743 As
0.349 0.138 0.257 As
0.651 0.862 0.257 As
0.862 0.651 0.743 As
```

Calculated values
Calculated formation energy (eV/atom): -0.2943
Spin magnetization (μB per cell): 0.0
Space-group type: No. 21